The following is a PBE calculation of a relaxed RbHfScSe3 crystal, from OQMD.

Calculated values
Excess energy over the best structure of this formula in the dataset, meV per atom: 60
Crystal system: orthorhombic
Total magnetization, Bohr magnetons per cell: 0.029

Geometry as POSCAR:
```
RbHfScSe3
1.0
2.073 -7.808 0.000
2.073 7.808 0.000
0.000 0.000 10.428
Rb Hf Sc Se
2 2 2 6
Direct
0.247 0.753 0.750
0.753 0.247 0.250
0.029 0.971 0.250
0.971 0.029 0.750
0.500 0.500 0.000
0.500 0.500 0.500
0.119 0.881 0.046
0.119 0.881 0.454
0.431 0.569 0.250
0.569 0.431 0.750
0.881 0.119 0.546
0.881 0.119 0.954
```



The following is a PBE calculation of a relaxed RbHf3Se5 crystal, from OQMD.

Calculated values
Crystal system: hexagonal
Total magnetization, Bohr magnetons per cell: 0.002

Geometry as POSCAR:
```
RbHf3Se5
1.0
6.142 0.000 0.000
-3.071 5.319 0.000
0.000 0.000 7.637
Rb Hf Se
1 3 5
Direct
0.000 0.000 0.000
0.000 0.500 0.500
0.500 0.000 0.500
0.500 0.500 0.500
0.000 0.000 0.500
0.333 0.667 0.238
0.333 0.667 0.762
0.667 0.333 0.238
0.667 0.333 0.762
```



The following is a PBE calculation of a relaxed RbYHfSe3 crystal, from OQMD.

Calculated values
Crystal system: orthorhombic
Total magnetization, Bohr magnetons per cell: 0.385

Geometry as POSCAR:
```
RbYHfSe3
1.0
2.136 -7.832 0.000
2.136 7.832 0.000
0.000 0.000 10.895
Rb Y Hf Se
2 2 2 6
Direct
0.244 0.756 0.750
0.756 0.244 0.250
0.500 0.500 0.000
0.500 0.500 0.500
0.029 0.971 0.250
0.971 0.029 0.750
0.122 0.878 0.056
0.122 0.878 0.444
0.433 0.567 0.250
0.567 0.433 0.750
0.878 0.122 0.556
0.878 0.122 0.944
```



no.,calculated total energy (eV/atom)
1,-5.902
2,-6.520
3,-5.981